No. 1
# HfAlPd PBEsol relaxed
data_HfAlPd
_space_group_name_H-M_alt 'A m m 2'
_space_group_IT_number 38
_cell_length_a 8.324
_cell_length_b 5.278
_cell_length_c 9.006
_cell_angle_alpha 90.00
_cell_angle_beta 90.00
_cell_angle_gamma 90.00
loop_
_space_group_symop_operation_xyz
'x,y,z'
'-x,-y,z'
'-x,y,z'
'x,-y,z'
'x,y+1/2,z+1/2'
'-x,-y+1/2,z+1/2'
'-x,y+1/2,z+1/2'
'x,-y+1/2,z+1/2'
loop_
_atom_site_label
_atom_site_type_symbol
_atom_site_fract_x
_atom_site_fract_y
_atom_site_fract_z
_atom_site_occupancy
Hf1 Hf 0.182 0.000 0.000 1
Hf2 Hf 0.301 0.000 0.668 1
Al1 Al 0.246 0.000 0.332 1
Al2 Al 0.500 0.241 0.925 1
Pd1 Pd 0.000 0.000 0.504 1
Pd2 Pd 0.000 0.246 0.751 1
Pd3 Pd 0.500 0.000 0.170 1
# Calculated volume   395.7 Å³ per cell
# Calculated formation energy   -0.678 eV/atom


No. 2
# IrSe2I PBEsol relaxed
data_IrSe2I
_space_group_name_H-M_alt 'I -4 2 d'
_space_group_IT_number 122
_space_group_name_Hall 'I -4 2bw'
_cell_length_a 6.954
_cell_length_b 6.954
_cell_length_c 8.741
_cell_angle_alpha 90.00
_cell_angle_beta 90.00
_cell_angle_gamma 90.00
loop_
_atom_site_label
_atom_site_type_symbol
_atom_site_fract_x
_atom_site_fract_y
_atom_site_fract_z
_atom_site_occupancy
Ir1 Ir 0.000 0.000 0.000 1
Se1 Se 0.164 0.250 0.125 1
I1 I 0.000 0.000 0.500 1
# Calculated volume   422.7 Å³ per cell
# Formation energy (no corrections)   0.183 eV/atom